No. 1
VASP calculation (GGA-PBE) on a relaxed Li3Al2Ag crystal.

Cell lengths 4.4387, 6.3586, 6.8744 Å; angles 103.30, 90.00, 90.00 degrees
Fractional positions:
Li  0.2500  0.0495  0.1739
Li  0.7500  0.9505  0.8261
Li  0.2500  0.1994  0.8294
Li  0.7500  0.8006  0.1706
Li  0.7500  0.6187  0.5048
Li  0.2500  0.3813  0.4952
Al  0.7500  0.4581  0.8457
Al  0.2500  0.5419  0.1543
Al  0.2500  0.8697  0.5026
Al  0.7500  0.1303  0.4974
Ag  0.7500  0.2978  0.1721
Ag  0.2500  0.7022  0.8279

DFT formation energy	-0.229	eV/atom
symmetry	P2_1/m (11)
total energy	-2.908	eV per atom

No. 2
VASP calculation (GGA-PBE) on a relaxed BaYW2 crystal.

Cell lengths 6.8556, 6.8556, 6.8556 Å; angles 149.58, 135.83, 54.57 degrees
Fractional positions:
Ba  0.7806  0.2806  0.5000
W  0.0352  0.0352  0.0000
W  0.1726  0.6726  0.5000
Y  0.5116  0.5116  0.0000

DFT formation energy	0.812	eV/atom
symmetry	Imm2 (44)
total energy	-7.761	eV per atom
polymorph energy (0 for the lowest one)	254.7	meV/atom

No. 3
VASP calculation (GGA-PBE) on a relaxed Al2ZnIn crystal.

Cell lengths 3.9464, 2.9436, 7.5400 Å; angles 61.02, 90.00, 90.00 degrees
Fractional positions:
Zn  0.5000  0.7489  0.7893
Al  0.0000  0.0107  0.9943
Al  0.5000  0.2578  0.2121
In  0.0000  0.4826  0.5044

DFT formation energy	0.111	eV/atom
symmetry	Pm (6)
total energy	-2.764	eV per atom

No. 4
VASP calculation (GGA-PBE) on a relaxed Al3ZnH crystal.

Cell lengths 4.0876, 4.0876, 4.0876 Å; angles 90.00, 90.00, 90.00 degrees
Fractional positions:
H  0.0000  0.0000  0.0000
Zn  0.5000  0.5000  0.5000
Al  0.0000  0.5000  0.0000
Al  0.0000  0.0000  0.5000
Al  0.5000  0.0000  0.0000

symmetry	Pm-3m (221)
total energy	-2.993	eV per atom
polymorph energy (0 for the lowest one)	0.0	meV/atom